*1*
A relaxed Hf2SeCl crystal, computed with PBE.

Total magnetic moment (μB/f.u.): 0.00

```
16
Lattice="7.095 0.000 0.000 0.000 7.095 0.000 0.000 0.000 6.496" Properties=species:S:1:pos:R:3 pbc="T T T"
Hf 1.557 1.774 0.812
Hf 1.774 5.104 2.436
Hf 1.774 5.538 5.684
Hf 1.991 1.774 4.060
Hf 5.104 5.321 4.060
Hf 5.321 1.557 5.684
Hf 5.321 1.991 2.436
Hf 5.538 5.321 0.812
Se 0.000 0.000 3.248
Se 0.000 3.547 4.872
Se 3.547 0.000 1.624
Se 3.547 3.547 0.000
Cl 0.000 0.000 0.000
Cl 0.000 3.547 1.624
Cl 3.547 0.000 4.872
Cl 3.547 3.547 3.248
```


*2*
A relaxed Hf2SeCl crystal, computed with PBE.

Total magnetic moment (μB/f.u.): 0.00

```
16
Lattice="6.611 0.000 0.000 0.000 6.611 0.000 0.000 0.000 6.611" Properties=species:S:1:pos:R:3 pbc="T T T"
Hf 1.653 1.653 1.653
Hf 1.653 1.653 4.959
Hf 1.653 4.959 1.653
Hf 1.653 4.959 4.959
Hf 4.959 1.653 1.653
Hf 4.959 1.653 4.959
Hf 4.959 4.959 1.653
Hf 4.959 4.959 4.959
Se 0.000 0.000 0.000
Se 0.000 3.306 3.306
Se 3.306 0.000 3.306
Se 3.306 3.306 0.000
Cl 0.000 0.000 3.306
Cl 0.000 3.306 0.000
Cl 3.306 0.000 0.000
Cl 3.306 3.306 3.306
```


Verdict on stability: *1* comes out at the bottom.


*1*
A relaxed HfTlSe2Cl crystal, computed with PBE.

Total magnetic moment (μB/f.u.): 0.00

```
5
Lattice="5.241 0.000 0.000 0.000 5.241 0.000 0.000 0.000 5.051" Properties=species:S:1:pos:R:3 pbc="T T T"
Hf 0.000 0.000 0.000
Tl 2.620 2.620 2.525
Se 0.000 2.620 0.000
Se 2.620 0.000 0.000
Cl 0.000 0.000 2.525
```


*2*
A relaxed HfTlSe2Cl crystal, computed with PBE.

Total magnetic moment (μB/f.u.): 0.00

```
10
Lattice="8.850 0.000 0.000 0.000 3.857 0.000 -2.324 0.000 8.717" Properties=species:S:1:pos:R:3 pbc="T T T"
Hf 1.161 0.964 1.323
Hf 5.365 2.893 7.394
Tl 1.108 2.893 6.502
Tl 5.418 0.964 2.215
Se -1.550 0.964 7.331
Se 2.958 2.893 1.039
Se 3.568 0.964 7.678
Se 8.077 2.893 1.386
Cl 1.222 0.964 3.745
Cl 5.304 2.893 4.972
```


Verdict on stability: *1* comes out at the bottom.


*1*
A relaxed HfSiCl3 crystal, computed with PBE.

Total magnetic moment (μB/f.u.): 2.10

```
5
Lattice="5.006 0.000 0.000 0.000 5.006 0.000 0.000 0.000 5.006" Properties=species:S:1:pos:R:3 pbc="T T T"
Hf 0.000 0.000 0.000
Si 2.503 2.503 2.503
Cl 0.000 0.000 2.503
Cl 0.000 2.503 0.000
Cl 2.503 0.000 0.000
```


*2*
A relaxed HfSiCl3 crystal, computed with PBE.

Total magnetic moment (μB/f.u.): 2.67

```
5
Lattice="5.025 0.000 0.000 0.000 5.025 0.000 0.000 0.000 5.025" Properties=species:S:1:pos:R:3 pbc="T T T"
Hf 0.000 0.000 0.000
Si 2.512 2.512 2.512
Cl 0.000 2.512 2.512
Cl 2.512 0.000 2.512
Cl 2.512 2.512 0.000
```


Verdict on stability: *2* comes out at the bottom.